Entry from Alexandria: a relaxed Mg5Hg3 crystal (PBEsol).

Cell and atoms, written as extended XYZ:
```
16
Lattice="-5.4406 5.4406 2.8688 5.4406 -5.4406 2.8688 5.4406 5.4406 -2.8688" Properties=species:S:1:pos:R:3 pbc="T T T"
Mg 8.4664 0.8500 0.0000
Mg 0.8500 2.4147 0.0000
Mg 5.4406 0.0000 1.4344
Mg 6.2906 3.0259 0.0000
Mg 3.0259 4.5905 0.0000
Mg 2.4147 0.8500 2.8688
Mg -0.8500 2.4147 2.8688
Mg 0.0000 5.4406 1.4344
Mg 4.5905 3.0259 2.8688
Mg -3.0259 4.5905 2.8688
Hg 3.6611 1.7795 0.0000
Hg 0.0000 0.0000 1.4344
Hg 3.6611 -1.7795 2.8688
Hg 1.7795 7.2200 0.0000
Hg 0.0000 0.0000 4.3031
Hg 1.7795 3.6611 2.8688
```

Formation enthalpy at 0 K, kJ per mole of atoms: -24.06
Density of states at the Fermi level, states/eV/cell: 5.70
Symmetry: No. 140



Entry from Alexandria: a relaxed MgHg2 crystal (PBEsol).

Cell and atoms, written as extended XYZ:
```
12
Lattice="3.0759 -3.0863 0.0000 3.0759 3.0863 0.0000 -2.4622 0.0000 13.4870" Properties=species:S:1:pos:R:3 pbc="T T T"
Mg 1.1735 2.2366 8.0068
Mg 1.2850 2.2366 12.2237
Mg 2.4045 -2.2366 1.2633
Mg 2.5161 -2.2366 5.4802
Hg -0.2949 0.6424 10.1058
Hg 2.4288 0.8899 1.0335
Hg 0.9362 -0.6424 3.3623
Hg 2.4918 0.8899 5.7100
Hg 1.1977 -0.8899 7.7770
Hg 2.7534 0.6424 10.1247
Hg 1.2607 -0.8899 12.4535
Hg 3.9845 -0.6424 3.3812
```

Formation enthalpy at 0 K, kJ per mole of atoms: -18.02
Density of states at the Fermi level, states/eV/cell: 3.59
Symmetry: No. 15



Entry from Alexandria: a relaxed MgHg crystal (PBEsol).

Cell and atoms, written as extended XYZ:
```
2
Lattice="1.6637 0.9605 4.4758 -1.6637 0.9605 4.4758 0.0000 -1.9210 4.4758" Properties=species:S:1:pos:R:3 pbc="T T T"
Mg 0.0000 0.0000 0.0000
Hg 0.0000 0.0000 6.7137
```

Formation enthalpy at 0 K, kJ per mole of atoms: -21.52
Density of states at the Fermi level, states/eV/cell: 0.82
Symmetry: No. 166



Entry from Alexandria: a relaxed MgHg crystal (PBEsol).

Cell and atoms, written as extended XYZ:
```
24
Lattice="9.9153 0.0000 0.0000 0.0000 8.4667 0.0000 0.0000 0.0000 6.0093" Properties=species:S:1:pos:R:3 pbc="T T T"
Mg 1.1753 2.1167 0.0000
Mg 1.1753 2.1167 3.0047
Mg 1.6221 5.3732 1.5023
Mg 1.6221 7.3268 4.5070
Mg 3.6640 0.3831 1.5023
Mg 3.6640 3.8503 4.5070
Mg 6.2513 4.6164 1.5023
Mg 6.2513 8.0836 4.5070
Mg 8.2932 1.1399 1.5023
Mg 8.2932 3.0934 4.5070
Mg 8.7400 6.3500 0.0000
Mg 8.7400 6.3500 3.0047
Hg 0.8263 4.6271 4.5070
Hg 0.8263 8.0729 1.5023
Hg 3.4604 0.9344 4.5070
Hg 3.4604 3.2990 1.5023
Hg 4.0077 6.3500 0.0000
Hg 4.0077 6.3500 3.0047
Hg 5.9076 2.1167 0.0000
Hg 5.9076 2.1167 3.0047
Hg 6.4549 5.1677 4.5070
Hg 6.4549 7.5323 1.5023
Hg 9.0890 0.3938 4.5070
Hg 9.0890 3.8395 1.5023
```

Formation enthalpy at 0 K, kJ per mole of atoms: -24.84
Density of states at the Fermi level, states/eV/cell: 8.35
Symmetry: No. 57



Entry from Alexandria: a relaxed MgHg3 crystal (PBEsol).

Cell and atoms, written as extended XYZ:
```
8
Lattice="5.6236 0.0000 0.0000 0.0000 5.6236 0.0000 0.0000 0.0000 5.6236" Properties=species:S:1:pos:R:3 pbc="T T T"
Mg 0.0000 0.0000 0.0000
Mg 2.8118 2.8118 2.8118
Hg 0.0000 1.4059 2.8118
Hg 0.0000 4.2177 2.8118
Hg 1.4059 2.8118 0.0000
Hg 2.8118 0.0000 1.4059
Hg 2.8118 0.0000 4.2177
Hg 4.2177 2.8118 0.0000
```

Formation enthalpy at 0 K, kJ per mole of atoms: -9.59
Density of states at the Fermi level, states/eV/cell: 2.67
Symmetry: No. 223



Entry from Alexandria: a relaxed Mg2Hg crystal (PBEsol).

Cell and atoms, written as extended XYZ:
```
3
Lattice="0.0000 3.2902 3.2902 3.2902 0.0000 3.2902 3.2902 3.2902 0.0000" Properties=species:S:1:pos:R:3 pbc="T T T"
Mg 1.6451 1.6451 1.6451
Mg 4.9353 4.9353 4.9353
Hg 0.0000 0.0000 0.0000
```

Formation enthalpy at 0 K, kJ per mole of atoms: -17.43
Density of states at the Fermi level, states/eV/cell: 1.54
Symmetry: No. 225



Entry from Alexandria: a relaxed MgHg2 crystal (PBEsol).

Cell and atoms, written as extended XYZ:
```
3
Lattice="4.8435 0.0000 0.0000 0.0000 4.8435 0.0000 0.0000 0.0000 3.1325" Properties=species:S:1:pos:R:3 pbc="T T T"
Mg 0.0000 0.0000 0.0000
Hg 0.0000 2.4218 1.5663
Hg 2.4218 0.0000 1.5663
```

Formation enthalpy at 0 K, kJ per mole of atoms: -12.21
Density of states at the Fermi level, states/eV/cell: 0.98
Symmetry: No. 123



Entry from Alexandria: a relaxed MgHg2 crystal (PBEsol).

Cell and atoms, written as extended XYZ:
```
6
Lattice="5.4475 -1.7287 0.0000 5.4475 1.7287 0.0000 -1.2224 0.0000 6.9176" Properties=species:S:1:pos:R:3 pbc="T T T"
Mg 0.0000 0.0000 0.0000
Mg 7.1823 0.0000 2.5563
Hg 3.0531 0.0000 0.6341
Hg 2.9989 0.0000 4.6633
Hg 5.9499 0.0000 5.2938
Hg 10.2667 0.0000 2.7957
```

Formation enthalpy at 0 K, kJ per mole of atoms: -16.59
Density of states at the Fermi level, states/eV/cell: 1.77
Symmetry: No. 8



Entry from Alexandria: a relaxed MgHg crystal (PBEsol).

Cell and atoms, written as extended XYZ:
```
6
Lattice="5.3102 -1.6727 0.0000 5.3102 1.6727 0.0000 -2.7787 0.0000 7.1199" Properties=species:S:1:pos:R:3 pbc="T T T"
Mg 0.0000 0.0000 0.0000
Mg -1.0281 0.0000 4.2897
Mg 6.6981 0.0000 2.4417
Hg 1.8140 0.0000 4.8018
Hg 3.8293 0.0000 1.9145
Hg 4.9092 0.0000 6.6934
```

Formation enthalpy at 0 K, kJ per mole of atoms: -22.97
Density of states at the Fermi level, states/eV/cell: 2.10
Symmetry: No. 8



Entry from Alexandria: a relaxed Mg8Hg crystal (PBEsol).

Cell and atoms, written as extended XYZ:
```
9
Lattice="-4.6862 4.6862 2.2323 4.6862 -4.6862 2.2323 4.6862 4.6862 -2.2323" Properties=species:S:1:pos:R:3 pbc="T T T"
Mg 3.0935 0.0000 0.0000
Mg 6.2789 0.0000 0.0000
Mg 0.0000 3.0935 0.0000
Mg 3.1556 3.1556 0.0000
Mg 1.5306 -1.5306 2.2323
Mg -1.5306 1.5306 2.2323
Mg 1.5306 1.5306 2.2323
Mg 0.0000 6.2789 0.0000
Hg 0.0000 0.0000 0.0000
```

Formation enthalpy at 0 K, kJ per mole of atoms: -6.57
Density of states at the Fermi level, states/eV/cell: 3.60
Symmetry: No. 139



Entry from Alexandria: a relaxed Mg2Hg crystal (PBEsol).

Cell and atoms, written as extended XYZ:
```
6
Lattice="4.8407 0.0000 0.0000 -2.4203 4.1922 0.0000 0.0000 0.0000 6.0868" Properties=species:S:1:pos:R:3 pbc="T T T"
Mg 0.0000 0.0000 0.0000
Mg 0.0000 0.0000 3.0434
Mg 0.0000 2.7948 1.5217
Mg 2.4204 1.3974 4.5651
Hg 0.0000 2.7948 4.5651
Hg 2.4204 1.3974 1.5217
```

Formation enthalpy at 0 K, kJ per mole of atoms: -24.94
Density of states at the Fermi level, states/eV/cell: 1.81
Symmetry: No. 194



Entry from Alexandria: a relaxed MgHg3 crystal (PBEsol).

Cell and atoms, written as extended XYZ:
```
4
Lattice="3.4017 0.0000 0.0000 0.0000 4.9107 0.0000 0.0000 0.0000 5.2420" Properties=species:S:1:pos:R:3 pbc="T T T"
Mg 0.0000 0.0000 0.0000
Hg 0.0000 2.4553 3.5010
Hg 1.7008 0.0000 2.6119
Hg 1.7008 2.4553 0.8108
```

Formation enthalpy at 0 K, kJ per mole of atoms: -12.63
Density of states at the Fermi level, states/eV/cell: 1.35
Symmetry: No. 25



Entry from Alexandria: a relaxed MgHg3 crystal (PBEsol).

Cell and atoms, written as extended XYZ:
```
8
Lattice="-2.2146 2.2146 8.8103 2.2146 -2.2146 8.8103 2.2146 2.2146 -8.8103" Properties=species:S:1:pos:R:3 pbc="T T T"
Mg 0.0000 0.0000 2.1653
Mg 0.0000 0.0000 15.4554
Hg 2.2146 0.0000 0.0000
Hg 2.2146 0.0000 4.4052
Hg 0.0000 0.0000 6.5994
Hg 0.0000 2.2146 0.0000
Hg 0.0000 0.0000 11.0213
Hg 0.0000 2.2146 4.4052
```

Formation enthalpy at 0 K, kJ per mole of atoms: -14.44
Density of states at the Fermi level, states/eV/cell: 2.63
Symmetry: No. 139



Entry from Alexandria: a relaxed MgHg crystal (PBEsol).

Cell and atoms, written as extended XYZ:
```
4
Lattice="1.6785 -5.4305 0.0000 1.6785 5.4305 0.0000 0.0000 0.0000 4.6027" Properties=species:S:1:pos:R:3 pbc="T T T"
Mg 1.6785 3.7650 3.4520
Mg 1.6785 -3.7650 1.1507
Hg 1.6785 0.9488 3.4520
Hg 1.6785 -0.9488 1.1507
```

Formation enthalpy at 0 K, kJ per mole of atoms: -26.81
Density of states at the Fermi level, states/eV/cell: 1.43
Symmetry: No. 63



Entry from Alexandria: a relaxed MgHg3 crystal (PBEsol).

Cell and atoms, written as extended XYZ:
```
4
Lattice="2.9313 -3.9679 0.0000 2.9313 3.9679 0.0000 0.0000 0.0000 3.7978" Properties=species:S:1:pos:R:3 pbc="T T T"
Mg 0.0000 0.0000 0.0000
Hg 1.4656 1.9840 1.8989
Hg 1.4656 -1.9840 1.8989
Hg 2.9313 0.0000 0.0000
```

Formation enthalpy at 0 K, kJ per mole of atoms: -12.55
Density of states at the Fermi level, states/eV/cell: 1.36
Symmetry: No. 65



Entry from Alexandria: a relaxed Mg2Hg crystal (PBEsol).

Cell and atoms, written as extended XYZ:
```
24
Lattice="0.0000 6.3655 6.3655 6.3655 0.0000 6.3655 6.3655 6.3655 0.0000" Properties=species:S:1:pos:R:3 pbc="T T T"
Mg 0.0000 0.0000 0.0000
Mg 3.1828 3.1828 0.0000
Mg 3.1828 0.0000 3.1828
Mg 4.7742 4.7742 2.3103
Mg 4.7742 2.3103 4.7742
Mg 7.2380 4.7742 4.7742
Mg 7.9569 7.9569 5.4930
Mg 7.9569 5.4930 7.9569
Mg 10.4208 7.9569 7.9569
Mg 0.0000 3.1828 3.1828
Mg 2.3103 4.7742 4.7742
Mg 4.7742 7.2380 4.7742
Mg 4.7742 4.7742 7.2380
Mg 5.4930 7.9569 7.9569
Mg 7.9569 10.4208 7.9569
Mg 7.9569 7.9569 10.4208
Hg 9.9226 5.9912 5.9912
Hg 2.8084 2.8084 2.8084
Hg 6.7399 6.7399 2.8084
Hg 6.7399 2.8084 6.7399
Hg 5.9912 9.9226 5.9912
Hg 5.9912 5.9912 9.9226
Hg 9.9226 9.9226 9.9226
Hg 2.8084 6.7399 6.7399
```

Formation enthalpy at 0 K, kJ per mole of atoms: -21.29
Density of states at the Fermi level, states/eV/cell: 10.23
Symmetry: No. 227



Entry from Alexandria: a relaxed MgHg crystal (PBEsol).

Cell and atoms, written as extended XYZ:
```
4
Lattice="3.2928 0.0000 0.0000 0.0000 5.2293 0.0000 0.0000 0.0000 4.9279" Properties=species:S:1:pos:R:3 pbc="T T T"
Mg 0.8232 1.3073 0.5960
Mg 2.4696 3.9220 4.3318
Hg 0.8232 3.9220 1.8217
Hg 2.4696 1.3073 3.1062
```

Formation enthalpy at 0 K, kJ per mole of atoms: -21.69
Density of states at the Fermi level, states/eV/cell: 1.34
Symmetry: No. 59



Entry from Alexandria: a relaxed MgHg2 crystal (PBEsol).

Cell and atoms, written as extended XYZ:
```
12
Lattice="5.9527 0.0000 0.0000 0.0000 4.7679 0.0000 0.0000 0.0000 9.0128" Properties=species:S:1:pos:R:3 pbc="T T T"
Mg 0.9696 1.1920 1.2253
Mg 2.0068 3.5759 5.7318
Mg 3.9460 1.1920 3.2811
Mg 4.9831 3.5759 7.7875
Hg 0.7484 1.1920 7.2658
Hg 0.9593 1.1920 4.1985
Hg 2.0171 3.5759 8.7049
Hg 2.2280 3.5759 2.7594
Hg 3.7248 1.1920 6.2534
Hg 3.9356 1.1920 0.3079
Hg 4.9935 3.5759 4.8143
Hg 5.2044 3.5759 1.7470
```

Formation enthalpy at 0 K, kJ per mole of atoms: -19.79
Density of states at the Fermi level, states/eV/cell: 3.96
Symmetry: No. 62



Entry from Alexandria: a relaxed MgHg2 crystal (PBEsol).

Cell and atoms, written as extended XYZ:
```
3
Lattice="0.0000 3.3036 3.3036 3.3036 0.0000 3.3036 3.3036 3.3036 0.0000" Properties=species:S:1:pos:R:3 pbc="T T T"
Mg 0.0000 0.0000 0.0000
Hg 1.6518 1.6518 1.6518
Hg 4.9554 4.9554 4.9554
```

Formation enthalpy at 0 K, kJ per mole of atoms: -9.61
Density of states at the Fermi level, states/eV/cell: 1.22
Symmetry: No. 225



Entry from Alexandria: a relaxed MgHg crystal (PBEsol).

Cell and atoms, written as extended XYZ:
```
8
Lattice="5.5057 0.0000 0.0000 0.0000 5.5057 0.0000 0.0000 0.0000 5.5057" Properties=species:S:1:pos:R:3 pbc="T T T"
Mg 0.5335 0.5335 0.5335
Mg 2.2193 4.9722 3.2863
Mg 3.2863 2.2193 4.9722
Mg 4.9722 3.2863 2.2193
Hg 0.5131 3.2659 4.9926
Hg 2.2397 2.2397 2.2397
Hg 3.2659 4.9926 0.5131
Hg 4.9926 0.5131 3.2659
```

Formation enthalpy at 0 K, kJ per mole of atoms: -25.61
Density of states at the Fermi level, states/eV/cell: 2.02
Symmetry: No. 198



Entry from Alexandria: a relaxed MgHg2 crystal (PBEsol).

Cell and atoms, written as extended XYZ:
```
6
Lattice="4.4920 -2.5632 0.0000 4.4920 2.5632 0.0000 -3.7555 0.0000 5.5245" Properties=species:S:1:pos:R:3 pbc="T T T"
Mg 1.6753 2.0180 4.1434
Mg 3.5531 -2.0180 1.3811
Hg 2.0421 0.5446 1.4053
Hg 0.1643 -0.5446 4.1676
Hg 5.0640 0.5446 1.3569
Hg 3.1863 -0.5446 4.1191
```

Formation enthalpy at 0 K, kJ per mole of atoms: -20.50
Density of states at the Fermi level, states/eV/cell: 1.67
Symmetry: No. 15



Entry from Alexandria: a relaxed Mg3Hg2 crystal (PBEsol).

Cell and atoms, written as extended XYZ:
```
5
Lattice="1.6528 0.9542 11.5111 -1.6528 0.9542 11.5111 0.0000 -1.9085 11.5111" Properties=species:S:1:pos:R:3 pbc="T T T"
Mg 0.0000 0.0000 0.0000
Mg 0.0000 0.0000 7.0252
Mg 0.0000 0.0000 27.5082
Hg 0.0000 0.0000 13.7560
Hg 0.0000 0.0000 20.7774
```

Formation enthalpy at 0 K, kJ per mole of atoms: -16.60
Density of states at the Fermi level, states/eV/cell: 1.90
Symmetry: No. 166



Entry from Alexandria: a relaxed Mg2Hg crystal (PBEsol).

Cell and atoms, written as extended XYZ:
```
3
Lattice="4.7360 0.0000 0.0000 -2.3680 4.1015 0.0000 0.0000 0.0000 3.2876" Properties=species:S:1:pos:R:3 pbc="T T T"
Mg 0.0000 2.7343 0.7635
Mg 2.3680 1.3672 2.5240
Hg 0.0000 0.0000 1.6438
```

Formation enthalpy at 0 K, kJ per mole of atoms: -17.08
Density of states at the Fermi level, states/eV/cell: 1.00
Symmetry: No. 164



Entry from Alexandria: a relaxed Mg5Hg3 crystal (PBEsol).

Cell and atoms, written as extended XYZ:
```
16
Lattice="8.2380 0.0000 0.0000 -4.1190 7.1343 0.0000 0.0000 0.0000 5.7995" Properties=species:S:1:pos:R:3 pbc="T T T"
Mg -1.0473 1.8139 1.4499
Mg -3.0717 5.3203 4.3496
Mg 2.0946 0.0000 1.4499
Mg 1.0473 1.8139 4.3496
Mg 0.0000 4.7562 0.0000
Mg 0.0000 4.7562 2.8997
Mg 4.1190 2.3781 0.0000
Mg 4.1190 2.3781 2.8997
Mg 6.1434 0.0000 4.3496
Mg 3.0717 5.3203 1.4499
Hg -1.5959 2.7641 4.3496
Hg -2.5231 4.3701 1.4499
Hg 3.1918 0.0000 4.3496
Hg 1.5959 2.7641 1.4499
Hg 5.0462 0.0000 1.4499
Hg 2.5231 4.3701 4.3496
```

Formation enthalpy at 0 K, kJ per mole of atoms: -26.84
Density of states at the Fermi level, states/eV/cell: 4.62
Symmetry: No. 193